# 1
Here is a relaxed VB4I2 crystal from the Alexandria database. Energies are from PBE-GGA.

Geometry as CIF:
```
data_VB4I2
_chemical_formula_sum 'V2 B8 I4'
_space_group_name_H-M_alt 'I 4/m m m'
_space_group_IT_number 139
_space_group_name_Hall '-I 4 2'
_cell_length_a 4.317
_cell_length_b 4.317
_cell_length_c 13.822
_cell_angle_alpha 90.00
_cell_angle_beta 90.00
_cell_angle_gamma 90.00
loop_
_atom_site_label
_atom_site_type_symbol
_atom_site_fract_x
_atom_site_fract_y
_atom_site_fract_z
V1 V 0.000 0.000 0.000
B1 B 0.000 0.000 0.151
B2 B 0.000 0.500 0.000
I1 I 0.000 0.000 0.311
```

Computed properties:
ΔE_f (raw) in meV per atom: 1575
Calculated total energy in eV/atom: -3.986
Total magnetization in Bohr magnetons per cell: 1.143



# 2
Here is a relaxed VBI2 crystal from the Alexandria database. Energies are from PBE-GGA.

Geometry as CIF:
```
data_VBI2
_chemical_formula_sum 'V4 B4 I8'
_space_group_name_H-M_alt 'I -4 2 d'
_space_group_IT_number 122
_space_group_name_Hall 'I -4 2bw'
_cell_length_a 6.397
_cell_length_b 6.397
_cell_length_c 12.438
_cell_angle_alpha 90.00
_cell_angle_beta 90.00
_cell_angle_gamma 90.00
loop_
_atom_site_label
_atom_site_type_symbol
_atom_site_fract_x
_atom_site_fract_y
_atom_site_fract_z
V1 V 0.000 0.000 0.000
B1 B 0.000 0.000 0.500
I1 I 0.248 0.250 0.125
```

Computed properties:
ΔE_f (raw) in meV per atom: 1137
Calculated total energy in eV/atom: -3.588
Total magnetization in Bohr magnetons per cell: 16.016
Energy above the most stable polymorph in this dataset in meV per atom: 0



# 3
Here is a relaxed V2BI crystal from the Alexandria database. Energies are from PBE-GGA.

Geometry as CIF:
```
data_V2BI
_chemical_formula_sum 'V8 B4 I4'
_space_group_name_H-M_alt 'I -4 2 d'
_space_group_IT_number 122
_space_group_name_Hall 'I -4 2bw'
_cell_length_a 5.488
_cell_length_b 5.488
_cell_length_c 10.463
_cell_angle_alpha 90.00
_cell_angle_beta 90.00
_cell_angle_gamma 90.00
loop_
_atom_site_label
_atom_site_type_symbol
_atom_site_fract_x
_atom_site_fract_y
_atom_site_fract_z
V1 V 0.144 0.250 0.125
B1 B 0.000 0.000 0.000
I1 I 0.000 0.000 0.500
```

Computed properties:
ΔE_f (raw) in meV per atom: 638
Calculated total energy in eV/atom: -5.978
Total magnetization in Bohr magnetons per cell: 14.940
Energy above the most stable polymorph in this dataset in meV per atom: 0



# 4
Here is a relaxed V2BI crystal from the Alexandria database. Energies are from PBE-GGA.

Geometry as CIF:
```
data_V2BI
_chemical_formula_sum 'V8 B4 I4'
_space_group_name_H-M_alt 'F m -3 m'
_space_group_IT_number 225
_space_group_name_Hall '-F 4 2 3'
_cell_length_a 6.073
_cell_length_b 6.073
_cell_length_c 6.073
_cell_angle_alpha 90.00
_cell_angle_beta 90.00
_cell_angle_gamma 90.00
loop_
_atom_site_label
_atom_site_type_symbol
_atom_site_fract_x
_atom_site_fract_y
_atom_site_fract_z
V1 V 0.250 0.250 0.250
B1 B 0.000 0.000 0.000
I1 I 0.000 0.000 0.500
```

Computed properties:
ΔE_f (raw) in meV per atom: 902
Calculated total energy in eV/atom: -5.714
Total magnetization in Bohr magnetons per cell: 0.019
Energy above the most stable polymorph in this dataset in meV per atom: 264



# 5
Here is a relaxed VBI2 crystal from the Alexandria database. Energies are from PBE-GGA.

Geometry as CIF:
```
data_VBI2
_chemical_formula_sum 'V4 B4 I8'
_space_group_name_H-M_alt 'F m -3 m'
_space_group_IT_number 225
_space_group_name_Hall '-F 4 2 3'
_cell_length_a 7.146
_cell_length_b 7.146
_cell_length_c 7.146
_cell_angle_alpha 90.00
_cell_angle_beta 90.00
_cell_angle_gamma 90.00
loop_
_atom_site_label
_atom_site_type_symbol
_atom_site_fract_x
_atom_site_fract_y
_atom_site_fract_z
V1 V 0.000 0.000 0.000
B1 B 0.000 0.000 0.500
I1 I 0.250 0.250 0.250
```

Computed properties:
ΔE_f (raw) in meV per atom: 1254
Calculated total energy in eV/atom: -3.470
Total magnetization in Bohr magnetons per cell: 14.314
Energy above the most stable polymorph in this dataset in meV per atom: 117



# 6
Here is a relaxed BW3I crystal from the Alexandria database. Energies are from PBE-GGA.

Geometry as CIF:
```
data_BW3I
_chemical_formula_sum 'B1 W3 I1'
_space_group_name_H-M_alt 'P m -3 m'
_space_group_IT_number 221
_space_group_name_Hall '-P 4 2 3'
_cell_length_a 4.863
_cell_length_b 4.863
_cell_length_c 4.863
_cell_angle_alpha 90.00
_cell_angle_beta 90.00
_cell_angle_gamma 90.00
loop_
_atom_site_label
_atom_site_type_symbol
_atom_site_fract_x
_atom_site_fract_y
_atom_site_fract_z
B1 B 0.000 0.000 0.000
W1 W 0.000 0.500 0.500
I1 I 0.500 0.500 0.500
```

Computed properties:
ΔE_f (raw) in meV per atom: 3751
Calculated total energy in eV/atom: -5.666
Total magnetization in Bohr magnetons per cell: 0.000
Energy above the most stable polymorph in this dataset in meV per atom: 2583



# 7
Here is a relaxed B3WI crystal from the Alexandria database. Energies are from PBE-GGA.

Geometry as CIF:
```
data_B3WI
_chemical_formula_sum 'B3 W1 I1'
_space_group_name_H-M_alt 'P m -3 m'
_space_group_IT_number 221
_space_group_name_Hall '-P 4 2 3'
_cell_length_a 4.383
_cell_length_b 4.383
_cell_length_c 4.383
_cell_angle_alpha 90.00
_cell_angle_beta 90.00
_cell_angle_gamma 90.00
loop_
_atom_site_label
_atom_site_type_symbol
_atom_site_fract_x
_atom_site_fract_y
_atom_site_fract_z
B1 B 0.000 0.000 0.500
W1 W 0.000 0.000 0.000
I1 I 0.500 0.500 0.500
```

Computed properties:
ΔE_f (raw) in meV per atom: 1742
Calculated total energy in eV/atom: -5.166
Total magnetization in Bohr magnetons per cell: 0.000
Energy above the most stable polymorph in this dataset in meV per atom: 0



# 8
Here is a relaxed B3WI crystal from the Alexandria database. Energies are from PBE-GGA.

Geometry as CIF:
```
data_B3WI
_chemical_formula_sum 'B3 W1 I1'
_space_group_name_H-M_alt 'P m -3 m'
_space_group_IT_number 221
_space_group_name_Hall '-P 4 2 3'
_cell_length_a 4.249
_cell_length_b 4.249
_cell_length_c 4.249
_cell_angle_alpha 90.00
_cell_angle_beta 90.00
_cell_angle_gamma 90.00
loop_
_atom_site_label
_atom_site_type_symbol
_atom_site_fract_x
_atom_site_fract_y
_atom_site_fract_z
B1 B 0.000 0.000 0.500
W1 W 0.500 0.500 0.500
I1 I 0.000 0.000 0.000
```

Computed properties:
ΔE_f (raw) in meV per atom: 3178
Calculated total energy in eV/atom: -3.729
Total magnetization in Bohr magnetons per cell: 0.000
Energy above the most stable polymorph in this dataset in meV per atom: 1437



# 9
Here is a relaxed BW3I crystal from the Alexandria database. Energies are from PBE-GGA.

Geometry as CIF:
```
data_BW3I
_chemical_formula_sum 'B1 W3 I1'
_space_group_name_H-M_alt 'P m -3 m'
_space_group_IT_number 221
_space_group_name_Hall '-P 4 2 3'
_cell_length_a 4.347
_cell_length_b 4.347
_cell_length_c 4.347
_cell_angle_alpha 90.00
_cell_angle_beta 90.00
_cell_angle_gamma 90.00
loop_
_atom_site_label
_atom_site_type_symbol
_atom_site_fract_x
_atom_site_fract_y
_atom_site_fract_z
B1 B 0.000 0.000 0.000
W1 W 0.000 0.000 0.500
I1 I 0.500 0.500 0.500
```

Computed properties:
ΔE_f (raw) in meV per atom: 1168
Calculated total energy in eV/atom: -8.249
Total magnetization in Bohr magnetons per cell: 0.000
Energy above the most stable polymorph in this dataset in meV per atom: 0



# 10
Here is a relaxed Y4B2I5 crystal from the Alexandria database. Energies are from PBE-GGA.

Geometry as CIF:
```
data_Y4B2I5
_chemical_formula_sum 'Y8 B4 I10'
_space_group_name_H-M_alt 'I m m m'
_space_group_IT_number 71
_space_group_name_Hall '-I 2 2'
_cell_length_a 4.011
_cell_length_b 8.543
_cell_length_c 21.735
_cell_angle_alpha 90.00
_cell_angle_beta 90.00
_cell_angle_gamma 90.00
loop_
_atom_site_label
_atom_site_type_symbol
_atom_site_fract_x
_atom_site_fract_y
_atom_site_fract_z
Y1 Y 0.000 0.000 0.143
Y2 Y 0.000 0.311 0.500
B1 B 0.000 0.000 0.036
I1 I 0.000 0.234 0.344
I2 I 0.000 0.500 0.000
```

Computed properties:
ΔE_f (raw) in meV per atom: -951
Calculated total energy in eV/atom: -5.220
Total magnetization in Bohr magnetons per cell: 0.000



# 11
Here is a relaxed YB2I crystal from the Alexandria database. Energies are from PBE-GGA.

Geometry as CIF:
```
data_YB2I
_chemical_formula_sum 'Y4 B8 I4'
_space_group_name_H-M_alt 'F m -3 m'
_space_group_IT_number 225
_space_group_name_Hall '-F 4 2 3'
_cell_length_a 6.614
_cell_length_b 6.614
_cell_length_c 6.614
_cell_angle_alpha 90.00
_cell_angle_beta 90.00
_cell_angle_gamma 90.00
loop_
_atom_site_label
_atom_site_type_symbol
_atom_site_fract_x
_atom_site_fract_y
_atom_site_fract_z
Y1 Y 0.000 0.000 0.000
B1 B 0.250 0.250 0.250
I1 I 0.000 0.000 0.500
```

Computed properties:
ΔE_f (raw) in meV per atom: 1346
Calculated total energy in eV/atom: -3.996
Total magnetization in Bohr magnetons per cell: 0.000
Energy above the most stable polymorph in this dataset in meV per atom: 271



# 12
Here is a relaxed YB2I crystal from the Alexandria database. Energies are from PBE-GGA.

Geometry as CIF:
```
data_YB2I
_chemical_formula_sum 'Y4 B8 I4'
_space_group_name_H-M_alt 'I -4 2 d'
_space_group_IT_number 122
_space_group_name_Hall 'I -4 2bw'
_cell_length_a 6.385
_cell_length_b 6.385
_cell_length_c 7.487
_cell_angle_alpha 90.00
_cell_angle_beta 90.00
_cell_angle_gamma 90.00
loop_
_atom_site_label
_atom_site_type_symbol
_atom_site_fract_x
_atom_site_fract_y
_atom_site_fract_z
Y1 Y 0.000 0.000 0.000
B1 B 0.205 0.250 0.625
I1 I 0.000 0.000 0.500
```

Computed properties:
ΔE_f (raw) in meV per atom: 1075
Calculated total energy in eV/atom: -4.267
Total magnetization in Bohr magnetons per cell: 0.000
Energy above the most stable polymorph in this dataset in meV per atom: 0